Here is a geometry-optimized CaCo2Cl structure from the Alexandria database. Energies are from GGA-PBE.

The space group is I4/mmm (No. 139) and the conventional cell measures 3.622, 3.622 and 11.620 Å, with angles of 90.00, 90.00 and 90.00 degrees. The distinct sites, in fractional coordinates, are Ca at (0.000, 0.000, 0.000), Co at (0.000, 0.500, 0.250) and Cl at (0.000, 0.000, 0.500).

The value obtained for the formation energy without anion corrections is -0.006 eV/atom. Its polymorph energy (0 for the lowest one) is 0.258 eV/atom. The density of states at the Fermi level comes out at 4.17 states/eV/f.u.

---

Here is a geometry-optimized Ta3Os structure from the Alexandria database. Energies are from GGA-PBE.

The space group is P-6m2 (No. 187) and the conventional cell measures 2.9025, 2.9025 and 9.5500 Å, with angles of 90.00, 90.00 and 120.00 degrees. The distinct sites, in fractional coordinates, are Ta at (0.0000, 0.0000, 0.0000), Ta at (0.3333, 0.6667, 0.2672) and Os at (0.0000, 0.0000, 0.5000).

The formation energy comes out at 0.170 eV/atom. The density of states at the Fermi level comes out at 4.94 states/eV/f.u.

---

Here is a geometry-optimized Pr4NdEr10 structure from the Alexandria database. Energies are from GGA-PBE.

The space group is I4/mmm (No. 139) and the conventional cell measures 11.278, 11.278 and 8.007 Å, with angles of 90.00, 90.00 and 90.00 degrees. The distinct sites, in fractional coordinates, are Pr at (0.227, 0.227, 0.000), Nd at (0.000, 0.000, 0.000), Er at (0.000, 0.208, 0.296) and Er at (0.000, 0.500, 0.250).

The formation energy comes out at 0.274 eV/atom. The density of states at the Fermi level comes out at 19.35 states/eV/f.u.

---

Here is a geometry-optimized Si3Cl8O2 structure from the Alexandria database. Energies are from GGA-PBE.

The space group is Pnma (No. 62) and the conventional cell measures 11.525, 21.483 and 6.690 Å, with angles of 90.00, 90.00 and 90.00 degrees. The distinct sites, in fractional coordinates, are Si at (0.092, 0.118, 0.104), Si at (0.197, 0.250, 0.016), Cl at (0.064, 0.615, 0.039), Cl at (0.073, 0.085, 0.387), Cl at (0.130, 0.750, 0.577), Cl at (0.172, 0.250, 0.715), Cl at (0.208, 0.064, 0.953) and O at (0.137, 0.189, 0.117).

The value obtained for the formation energy without anion corrections is -1.601 eV/atom. The density of states at the Fermi level comes out at 0.00 states/eV/f.u.

---

Here is a geometry-optimized LiAlZn2Au4 structure from the Alexandria database. Energies are from GGA-PBE.

The space group is R-3m (No. 166, hexagonal axes) and the conventional cell measures 4.4857, 4.4857 and 22.1703 Å, with angles of 90.00, 90.00 and 120.00 degrees. The distinct sites, in fractional coordinates, are Li at (0.0000, 0.0000, 0.0000), Al at (0.0000, 0.0000, 0.5000), Zn at (0.0000, 0.0000, 0.2558), Au at (0.0000, 0.0000, 0.1279) and Au at (0.0000, 0.0000, 0.3779).

The formation energy comes out at -0.369 eV/atom. The density of states at the Fermi level comes out at 1.75 states/eV/f.u.

---

Here is a geometry-optimized LaB4C2 structure from the Alexandria database. Energies are from GGA-PBE.

The space group is P4_2/mnm (No. 136) and the conventional cell measures 6.109, 6.109 and 4.577 Å, with angles of 90.00, 90.00 and 90.00 degrees. The distinct sites, in fractional coordinates, are La at (0.000, 0.000, 0.000), B at (0.052, 0.380, 0.500) and C at (0.191, 0.191, 0.500).

The formation energy comes out at 0.126 eV/atom. The density of states at the Fermi level comes out at 1.45 states/eV/f.u.

---

Here is a geometry-optimized Sr2CdC2O6 structure from the Alexandria database. Energies are from GGA-PBE.

The space group is P-3m1 (No. 164) and the conventional cell measures 5.3760, 5.3760 and 5.8869 Å, with angles of 90.00, 90.00 and 120.00 degrees. The distinct sites, in fractional coordinates, are Sr at (0.3333, 0.6667, 0.3232), Cd at (0.0000, 0.0000, 0.0000), C at (0.3333, 0.6667, 0.8145) and O at (0.1913, 0.3826, 0.7464).

The value obtained for the formation energy without anion corrections is -1.573 eV/atom. The density of states at the Fermi level comes out at 1.30 states/eV/f.u.

---

Here is a geometry-optimized KZr2P structure from the Alexandria database. Energies are from GGA-PBE.

The space group is Imm2 (No. 44) and the conventional cell measures 3.519, 3.816 and 17.469 Å, with angles of 90.00, 90.00 and 90.00 degrees. The distinct sites, in fractional coordinates, are K at (0.000, 0.000, 0.000), Zr at (0.000, 0.000, 0.318), Zr at (0.000, 0.500, 0.185) and P at (0.000, 0.500, 0.697).

The formation energy comes out at -0.105 eV/atom. The density of states at the Fermi level comes out at 5.46 states/eV/f.u.

---

Here is a geometry-optimized KLi2Ag structure from the Alexandria database. Energies are from GGA-PBE.

The space group is Pmmm (No. 47) and the conventional cell measures 4.678, 4.715 and 4.853 Å, with angles of 90.00, 90.00 and 90.00 degrees. The distinct sites, in fractional coordinates, are K at (0.000, 0.000, 0.000), Li at (0.000, 0.500, 0.500), Li at (0.500, 0.000, 0.500) and Ag at (0.500, 0.500, 0.000).

The formation energy comes out at 0.155 eV/atom. The density of states at the Fermi level comes out at 1.66 states/eV/f.u.

---

Here is a geometry-optimized TiPbS2 structure from the Alexandria database. Energies are from GGA-PBE.

The space group is C2/c (No. 15) and the conventional cell measures 10.183, 7.902 and 6.464 Å, with angles of 90.00, 129.07 and 90.00 degrees. The distinct sites, in fractional coordinates, are Ti at (0.000, 0.001, 0.250), Pb at (0.000, 0.500, 0.000) and S at (0.156, 0.156, 0.655).

The value obtained for the formation energy without anion corrections is -0.803 eV/atom. The density of states at the Fermi level comes out at 1.77 states/eV/f.u.

---

Here is a geometry-optimized CePmSnPb structure from the Alexandria database. Energies are from GGA-PBE.

The space group is F-43m (No. 216) and the conventional cell measures 7.790, 7.790 and 7.790 Å, with angles of 90.00, 90.00 and 90.00 degrees. The distinct sites, in fractional coordinates, are Ce at (0.000, 0.000, 0.000), Pm at (0.000, 0.000, 0.500), Sn at (0.250, 0.250, 0.750) and Pb at (0.250, 0.250, 0.250).

The formation energy comes out at -0.471 eV/atom. The density of states at the Fermi level comes out at 8.80 states/eV/f.u.

---

Here is a geometry-optimized YCuN2 structure from the Alexandria database. Energies are from GGA-PBE.

The space group is R-3m (No. 166, hexagonal axes) and the conventional cell measures 3.2733, 3.2733 and 18.3258 Å, with angles of 90.00, 90.00 and 120.00 degrees. The distinct sites, in fractional coordinates, are Y at (0.0000, 0.0000, 0.0000), Cu at (0.0000, 0.0000, 0.5000) and N at (0.0000, 0.0000, 0.1218).

The value obtained for the formation energy without anion corrections is 0.871 eV/atom. Its polymorph energy (0 for the lowest one) is 1.026 eV/atom. The density of states at the Fermi level comes out at 4.15 states/eV/f.u.

---

Here is a geometry-optimized Na4AcNd structure from the Alexandria database. Energies are from GGA-PBE.

The space group is F-43m (No. 216) and the conventional cell measures 9.521, 9.521 and 9.521 Å, with angles of 90.00, 90.00 and 90.00 degrees. The distinct sites, in fractional coordinates, are Na at (0.124, 0.124, 0.376), Ac at (0.000, 0.000, 0.000) and Nd at (0.250, 0.250, 0.750).

The formation energy comes out at 0.221 eV/atom. The density of states at the Fermi level comes out at 2.87 states/eV/f.u.

---

Here is a geometry-optimized BeCrAsSe2 structure from the Alexandria database. Energies are from GGA-PBE.

The space group is P4/mmm (No. 123) and the conventional cell measures 4.656, 4.656 and 4.192 Å, with angles of 90.00, 90.00 and 90.00 degrees. The distinct sites, in fractional coordinates, are Be at (0.000, 0.000, 0.000), Cr at (0.500, 0.500, 0.500), As at (0.000, 0.000, 0.500) and Se at (0.000, 0.500, 0.000).

The value obtained for the formation energy without anion corrections is 0.851 eV/atom. Its polymorph energy (0 for the lowest one) is 0.147 eV/atom. The density of states at the Fermi level comes out at 5.11 states/eV/f.u.

---

Here is a geometry-optimized TlCd2OsO6 structure from the Alexandria database. Energies are from GGA-PBE.

The space group is P2_1/c (No. 14) and the conventional cell measures 5.994, 5.926 and 10.318 Å, with angles of 90.00, 124.63 and 90.00 degrees. The distinct sites, in fractional coordinates, are Tl at (0.000, 0.000, 0.000), Cd at (0.186, 0.021, 0.721), Os at (0.500, 0.000, 0.500), O at (0.192, 0.131, 0.302), O at (0.242, 0.615, 0.038) and O at (0.476, 0.736, 0.397).

The value obtained for the formation energy without anion corrections is -0.911 eV/atom. The density of states at the Fermi level comes out at 1.77 states/eV/f.u.

---

Here is a geometry-optimized TlAgGeHSe structure from the Alexandria database. Energies are from GGA-PBE.

The space group is P1 (No. 1) and the conventional cell measures 4.595, 4.613 and 5.951 Å, with angles of 108.39, 102.90 and 101.10 degrees. The distinct sites, in fractional coordinates, are Tl at (0.000, 0.000, 0.000), Ag at (0.358, 0.778, 0.551), Ge at (0.469, 0.493, 0.958), H at (0.590, 0.205, 0.774) and Se at (0.758, 0.481, 0.366).

Its polymorph energy (0 for the lowest one) is 0.070 eV/atom. The density of states at the Fermi level comes out at 0.66 states/eV/f.u.

---

Here is a geometry-optimized RbSeCl2 structure from the Alexandria database. Energies are from GGA-PBE.

The space group is R-3m (No. 166, hexagonal axes) and the conventional cell measures 5.2393, 5.2393 and 23.0512 Å, with angles of 90.00, 90.00 and 120.00 degrees. The distinct sites, in fractional coordinates, are Rb at (0.0000, 0.0000, 0.0000), Se at (0.0000, 0.0000, 0.5000) and Cl at (0.0000, 0.0000, 0.3949).

The value obtained for the formation energy without anion corrections is -0.820 eV/atom. Its polymorph energy (0 for the lowest one) is 0.000 eV/atom. The density of states at the Fermi level comes out at 6.77 states/eV/f.u.

---

Here is a geometry-optimized CuGe2I2 structure from the Alexandria database. Energies are from GGA-PBE.

The space group is I4/mmm (No. 139) and the conventional cell measures 6.084, 6.084 and 7.648 Å, with angles of 90.00, 90.00 and 90.00 degrees. The distinct sites, in fractional coordinates, are Cu at (0.000, 0.000, 0.000), Ge at (0.000, 0.000, 0.314) and I at (0.000, 0.500, 0.250).

The value obtained for the formation energy without anion corrections is 0.290 eV/atom. The density of states at the Fermi level comes out at 2.12 states/eV/f.u.

---

Here is a geometry-optimized EuLuBi2 structure from the Alexandria database. Energies are from GGA-PBE.

The space group is P4/mmm (No. 123) and the conventional cell measures 5.405, 5.405 and 4.183 Å, with angles of 90.00, 90.00 and 90.00 degrees. The distinct sites, in fractional coordinates, are Eu at (0.000, 0.000, 0.000), Lu at (0.500, 0.500, 0.000) and Bi at (0.000, 0.500, 0.500).

The formation energy comes out at -0.576 eV/atom. Its polymorph energy (0 for the lowest one) is 0.160 eV/atom. The density of states at the Fermi level comes out at 2.55 states/eV/f.u.

---

Here is a geometry-optimized ErNp2PaAs4 structure from the Alexandria database. Energies are from GGA-PBE.

The space group is P2/m (No. 10) and the conventional cell measures 7.092, 4.109 and 7.106 Å, with angles of 90.00, 109.56 and 90.00 degrees. The distinct sites, in fractional coordinates, are Er at (0.000, 0.000, 0.000), Np at (0.500, 0.000, 0.500), Np at (0.500, 0.500, 0.000), Pa at (0.000, 0.500, 0.500), As at (0.248, 0.000, 0.751) and As at (0.248, 0.500, 0.249).

The formation energy comes out at -0.990 eV/atom. The density of states at the Fermi level comes out at 20.59 states/eV/f.u.

---

Here is a geometry-optimized SiBrN2F structure from the Alexandria database. Energies are from GGA-PBE.

The space group is P4/mmm (No. 123) and the conventional cell measures 4.012, 4.012 and 4.225 Å, with angles of 90.00, 90.00 and 90.00 degrees. The distinct sites, in fractional coordinates, are Si at (0.000, 0.000, 0.000), Br at (0.500, 0.500, 0.500), N at (0.000, 0.500, 0.500) and F at (0.500, 0.500, 0.000).

The value obtained for the formation energy without anion corrections is 1.725 eV/atom. Its polymorph energy (0 for the lowest one) is 1.434 eV/atom. The density of states at the Fermi level comes out at 1.28 states/eV/f.u.

---

Here is a geometry-optimized Ag2PbI4 structure from the Alexandria database. Energies are from GGA-PBE.

The space group is P-42m (No. 111) and the conventional cell measures 6.664, 6.664 and 6.881 Å, with angles of 90.00, 90.00 and 90.00 degrees. The distinct sites, in fractional coordinates, are Ag at (0.000, 0.500, 0.000), Pb at (0.000, 0.000, 0.500) and I at (0.272, 0.272, 0.762).

The value obtained for the formation energy without anion corrections is -0.368 eV/atom. Its polymorph energy (0 for the lowest one) is 0.030 eV/atom. The density of states at the Fermi level comes out at 0.00 states/eV/f.u.

---

Here is a geometry-optimized Ta2FeCu structure from the Alexandria database. Energies are from GGA-PBE.

The space group is Cmmm (No. 65) and the conventional cell measures 3.506, 4.242 and 8.057 Å, with angles of 90.00, 90.00 and 90.00 degrees. The distinct sites, in fractional coordinates, are Ta at (0.000, 0.000, 0.244), Fe at (0.000, 0.500, 0.000) and Cu at (0.000, 0.500, 0.500).

The formation energy comes out at 0.094 eV/atom. Its polymorph energy (0 for the lowest one) is 0.058 eV/atom. The density of states at the Fermi level comes out at 2.47 states/eV/f.u.

---

Here is a geometry-optimized PmTlCdPb structure from the Alexandria database. Energies are from GGA-PBE.

The space group is Pmmm (No. 47) and the conventional cell measures 4.618, 4.759 and 4.972 Å, with angles of 90.00, 90.00 and 90.00 degrees. The distinct sites, in fractional coordinates, are Pm at (0.000, 0.000, 0.000), Tl at (0.500, 0.000, 0.500), Cd at (0.000, 0.500, 0.500) and Pb at (0.500, 0.500, 0.000).

The formation energy comes out at -0.350 eV/atom. Its polymorph energy (0 for the lowest one) is 0.000 eV/atom. The density of states at the Fermi level comes out at 1.62 states/eV/f.u.